Record 1
Material: HgOs2
Method: DFT, GGA-PBE
State: optimized geometry

Results
For the formation energy, the calculation gives 24.56 kcal/mol of atoms. Its energy above the most stable polymorph in this dataset is 0 meV per atom. For the volume, the calculation gives 51.6 Å³/f.u. The total DFT energy (no corrections) comes out at -0.240 hartree per atom.

Lattice parameters (Å, degrees): 5.266 5.266 5.266 60.00 60.00 60.00
Sites, in units of the cell vectors:
Hg 0.125 0.125 0.125
Hg 0.875 0.875 0.875
Os 0.000 0.500 0.500
Os 0.500 0.000 0.500
Os 0.500 0.500 0.000
Os 0.500 0.500 0.500

Record 2
Material: PaFe3
Method: DFT, GGA-PBE
State: optimized geometry

Results
For the formation energy, the calculation gives 0.23 kcal/mol of atoms. For the volume, the calculation gives 57.9 Å³/f.u. The total DFT energy (no corrections) comes out at -0.316 hartree per atom.

Lattice parameters (Å, degrees): 3.725 3.725 8.350 90.00 90.00 90.00
Sites, in units of the cell vectors:
Pa 0.000 0.000 0.000
Pa 0.500 0.500 0.500
Fe 0.000 0.000 0.500
Fe 0.000 0.500 0.250
Fe 0.000 0.500 0.750
Fe 0.500 0.000 0.250
Fe 0.500 0.000 0.750
Fe 0.500 0.500 0.000

Record 3
Material: PmNiBi
Method: DFT, GGA-PBE
State: optimized geometry

Results
Its energy above the most stable polymorph in this dataset is 0 meV per atom. For the volume, the calculation gives 71.4 Å³/f.u. The total DFT energy (no corrections) comes out at -0.201 hartree per atom.

Lattice parameters (Å, degrees): 6.584 6.584 6.584 90.00 90.00 90.00
Sites, in units of the cell vectors:
Pm 0.000 0.000 0.000
Pm 0.000 0.500 0.500
Pm 0.500 0.000 0.500
Pm 0.500 0.500 0.000
Ni 0.250 0.250 0.250
Ni 0.250 0.750 0.750
Ni 0.750 0.250 0.750
Ni 0.750 0.750 0.250
Bi 0.000 0.000 0.500
Bi 0.000 0.500 0.000
Bi 0.500 0.000 0.000
Bi 0.500 0.500 0.500